1.
Computed, not measured: crystalline TmPuUO6 at its relaxed geometry at the GGA-PBE level of DFT. Values from VASP.

The structure in Quantum ESPRESSO input format:
```
&SYSTEM
  ibrav = 0, nat = 18, ntyp = 4
/
ATOMIC_SPECIES
Tm 168.93 Tm.upf
Pu 244.00 Pu.upf
U 238.03 U.upf
O 16.00 O.upf
CELL_PARAMETERS angstrom
5.743 0.000 0.000
-2.871 4.973 0.000
0.000 0.000 9.451
ATOMIC_POSITIONS crystal
Tm 0.333 0.667 0.250
Tm 0.667 0.333 0.750
Pu 0.000 0.000 0.000
Pu 0.000 0.000 0.500
U 0.667 0.333 0.250
U 0.333 0.667 0.750
O 0.664 0.649 0.134
O 0.985 0.336 0.134
O 0.336 0.985 0.634
O 0.015 0.664 0.866
O 0.351 0.336 0.366
O 0.985 0.649 0.366
O 0.649 0.985 0.866
O 0.664 0.015 0.366
O 0.015 0.351 0.634
O 0.351 0.015 0.134
O 0.649 0.664 0.634
O 0.336 0.351 0.866
```

Its density of states at the Fermi level is 17.04 states/eV per cell. The symmetry is P-31c (163).

=====

2.
Computed, not measured: crystalline Y2TmPuO8 at its relaxed geometry at the GGA-PBE level of DFT. Values from VASP.

The structure in Quantum ESPRESSO input format:
```
&SYSTEM
  ibrav = 0, nat = 12, ntyp = 4
/
ATOMIC_SPECIES
Y 88.91 Y.upf
Tm 168.93 Tm.upf
Pu 244.00 Pu.upf
O 16.00 O.upf
CELL_PARAMETERS angstrom
5.086 -0.068 -0.003
-0.047 5.087 -0.006
0.004 0.008 6.924
ATOMIC_POSITIONS crystal
Y 0.500 0.500 0.740
Y 0.500 0.500 0.260
Tm 0.000 0.000 0.500
Pu 0.000 0.000 0.000
O 0.182 0.818 0.225
O 0.719 0.720 0.000
O 0.818 0.182 0.225
O 0.818 0.182 0.775
O 0.281 0.280 0.000
O 0.182 0.818 0.775
O 0.696 0.696 0.500
O 0.304 0.304 0.500
```

The symmetry is Cmmm (65).

=====

3.
Computed, not measured: crystalline TmPuZnO6 at its relaxed geometry at the GGA-PBE level of DFT. Values from VASP.

The structure in Quantum ESPRESSO input format:
```
&SYSTEM
  ibrav = 0, nat = 9, ntyp = 4
/
ATOMIC_SPECIES
Tm 168.93 Tm.upf
Pu 244.00 Pu.upf
Zn 65.41 Zn.upf
O 16.00 O.upf
CELL_PARAMETERS angstrom
-1.501 -2.285 -3.566
4.633 1.316 -2.794
-0.181 -4.651 3.057
ATOMIC_POSITIONS crystal
Tm 0.500 0.667 0.333
Pu 0.500 0.000 0.000
Zn 0.000 0.333 0.667
O 0.738 0.688 0.693
O 0.738 0.307 0.995
O 0.738 0.005 0.312
O 0.262 0.307 0.312
O 0.262 0.688 0.995
O 0.262 0.005 0.693
```

Its density of states at the Fermi level is 0.16 states/eV per cell. The symmetry is P312 (149).

=====

4.
Computed, not measured: crystalline TmPuZrO6 at its relaxed geometry at the GGA-PBE level of DFT. Values from VASP.

The structure in Quantum ESPRESSO input format:
```
&SYSTEM
  ibrav = 0, nat = 18, ntyp = 4
/
ATOMIC_SPECIES
Tm 168.93 Tm.upf
Pu 244.00 Pu.upf
Zr 91.22 Zr.upf
O 16.00 O.upf
CELL_PARAMETERS angstrom
-1.271 -5.433 0.475
3.101 1.784 -4.308
7.800 -1.385 5.041
ATOMIC_POSITIONS crystal
Tm 0.000 0.000 0.000
Tm 0.000 0.000 0.500
Pu 0.667 0.333 0.250
Pu 0.333 0.667 0.750
Zr 0.333 0.667 0.250
Zr 0.667 0.333 0.750
O 0.656 0.657 0.134
O 0.002 0.344 0.134
O 0.344 0.002 0.634
O 0.998 0.656 0.866
O 0.343 0.344 0.366
O 0.002 0.657 0.366
O 0.657 0.002 0.866
O 0.656 0.998 0.366
O 0.998 0.343 0.634
O 0.343 0.998 0.134
O 0.657 0.656 0.634
O 0.344 0.343 0.866
```

Its density of states at the Fermi level is 18.87 states/eV per cell. The symmetry is P-31c (163).

=====

5.
Computed, not measured: crystalline PuUO2 at its relaxed geometry at the GGA-PBE level of DFT. Values from VASP.

The structure in Quantum ESPRESSO input format:
```
&SYSTEM
  ibrav = 0, nat = 4, ntyp = 3
/
ATOMIC_SPECIES
U 238.03 U.upf
O 16.00 O.upf
Pu 244.00 Pu.upf
CELL_PARAMETERS angstrom
3.075 0.000 0.000
0.000 3.075 0.000
0.000 0.000 6.159
ATOMIC_POSITIONS crystal
U 0.500 0.500 0.000
O 0.000 0.000 0.770
O 0.000 0.000 0.230
Pu 0.500 0.500 0.500
```

Its energy above the lowest structure with this stoichiometry is 0 meV/atom. Its density of states at the Fermi level is 8.29 states/eV per cell. The symmetry is P4/mmm (123).

=====

6.
Computed, not measured: crystalline Pu6UO12 at its relaxed geometry at the GGA-PBE level of DFT. Values from VASP.

The structure in Quantum ESPRESSO input format:
```
&SYSTEM
  ibrav = 0, nat = 19, ntyp = 3
/
ATOMIC_SPECIES
Pu 244.00 Pu.upf
U 238.03 U.upf
O 16.00 O.upf
CELL_PARAMETERS angstrom
-2.499 -5.628 -2.582
2.162 -2.382 5.851
-5.682 2.848 2.044
ATOMIC_POSITIONS crystal
Pu 0.140 0.304 0.601
Pu 0.696 0.399 0.860
Pu 0.399 0.860 0.696
Pu 0.860 0.696 0.399
Pu 0.304 0.601 0.140
Pu 0.601 0.140 0.304
U 0.000 0.000 0.000
O 0.434 0.177 0.589
O 0.177 0.589 0.434
O 0.589 0.434 0.177
O 0.566 0.823 0.411
O 0.823 0.411 0.566
O 0.411 0.566 0.823
O 0.058 0.933 0.686
O 0.314 0.942 0.067
O 0.067 0.314 0.942
O 0.942 0.067 0.314
O 0.686 0.058 0.933
O 0.933 0.686 0.058
```

Its density of states at the Fermi level is 37.13 states/eV per cell. The symmetry is R-3 (148).

=====

7.
Computed, not measured: crystalline PuU2O6 at its relaxed geometry at the GGA-PBE level of DFT. Values from VASP.

The structure in Quantum ESPRESSO input format:
```
&SYSTEM
  ibrav = 0, nat = 9, ntyp = 3
/
ATOMIC_SPECIES
Pu 244.00 Pu.upf
U 238.03 U.upf
O 16.00 O.upf
CELL_PARAMETERS angstrom
3.649 0.000 -1.180
-0.801 4.753 -2.479
0.119 0.373 6.603
ATOMIC_POSITIONS crystal
Pu 0.000 0.000 0.000
U 0.334 0.334 0.669
U 0.666 0.666 0.331
O 0.830 0.084 0.659
O 0.170 0.425 0.341
O 0.170 0.916 0.341
O 0.500 0.259 0.000
O 0.830 0.575 0.659
O 0.500 0.741 0.000
```

Its density of states at the Fermi level is 13.59 states/eV per cell. The symmetry is Immm (71).

=====

8.
Computed, not measured: crystalline Pu2UO11 at its relaxed geometry at the GGA-PBE level of DFT. Values from VASP.

The structure in Quantum ESPRESSO input format:
```
&SYSTEM
  ibrav = 0, nat = 28, ntyp = 3
/
ATOMIC_SPECIES
Pu 244.00 Pu.upf
U 238.03 U.upf
O 16.00 O.upf
CELL_PARAMETERS angstrom
8.897 0.044 4.687
4.078 6.709 3.129
1.363 0.254 8.336
ATOMIC_POSITIONS crystal
Pu 0.643 0.596 0.407
Pu 0.367 0.286 0.705
Pu 0.867 0.205 0.786
Pu 0.144 0.906 0.095
U 0.845 0.737 0.756
U 0.345 0.256 0.237
O 0.407 0.729 0.586
O 0.368 0.241 0.487
O 0.157 0.543 0.714
O 0.868 0.987 0.741
O 0.880 0.417 0.273
O 0.908 0.085 0.228
O 0.380 0.773 0.916
O 0.658 0.213 0.043
O 0.552 0.415 0.455
O 0.052 0.955 0.915
O 0.731 0.754 0.367
O 0.187 0.181 0.898
O 0.687 0.399 0.681
O 0.233 0.865 0.253
O 0.455 0.986 0.256
O 0.581 0.037 0.696
O 0.353 0.293 0.952
O 0.081 0.196 0.537
O 0.722 0.706 0.031
O 0.956 0.755 0.486
O 0.222 0.532 0.206
O 0.852 0.452 0.793
```

Its density of states at the Fermi level is 3.06 states/eV per cell. The symmetry is P1 (1).

=====

In eV per atom, the energy values for the records above are, in order, -9.870 -9.038 -7.852 -9.460 -10.594 -11.397 -10.698 -8.852.